Here is Pm2Mg2FeGe4 after structural relaxation from Alexandria via LeMat-Bulk. Energies are from PBE.

## Properties
DFT formation energy (eV/atom): -0.391
Spin magnetization (μB/f.u.): 1.700

Unit cell a=6.5474 b=6.5474 c=8.5881 alpha=90.00 beta=90.00 gamma=90.00
With the nearest neighbours (Å) after each atom.
Space group I4/mmm (No. 139)
Unique sites:
Pm 0.0000 0.5000 0.2500  8 Ge 3.16, 4 Mg 3.30
Mg 0.0000 0.0000 0.1990  1 Fe 2.58, 4 Ge 2.82
Fe 0.0000 0.0000 0.5000  4 Ge 2.39, 2 Mg 2.58
Ge 0.2423 0.2423 0.0000  1 Fe 2.39


Here is RbMgFeGe2 after structural relaxation from Alexandria via LeMat-Bulk. Energies are from PBE.

## Properties
DFT formation energy (eV/atom): 0.479
Spin magnetization (μB/f.u.): 0.822

Unit cell a=4.6167 b=4.6167 c=5.8792 alpha=90.00 beta=90.00 gamma=90.00
With the nearest neighbours (Å) after each atom.
Space group P4/mmm (No. 123)
Unique sites:
Rb 0.0000 0.0000 0.0000  2 Fe 2.94, 4 Mg 3.26
Mg 0.5000 0.5000 0.0000  4 Rb 3.26
Fe 0.0000 0.0000 0.5000  4 Ge 2.31
Ge 0.0000 0.5000 0.5000  2 Fe 2.31


Here is Mg2FeGeRh after structural relaxation from Alexandria via LeMat-Bulk. Energies are from PBE.

## Properties
DFT formation energy (eV/atom): 0.684
Spin magnetization (μB/f.u.): 3.157

Unit cell a=4.8638 b=4.8638 c=4.5447 alpha=90.00 beta=90.00 gamma=90.00
With the nearest neighbours (Å) after each atom.
Space group P4/mmm (No. 123)
Unique sites:
Mg 0.0000 0.5000 0.0000  2 Ge 2.43
Fe 0.0000 0.0000 0.5000  8 Mg 3.33, 4 Rh 3.44
Ge 0.5000 0.5000 0.0000  2 Rh 2.27, 4 Mg 2.43
Rh 0.5000 0.5000 0.5000  2 Ge 2.27


Here is Sr2MgFeGe after structural relaxation from Alexandria via LeMat-Bulk. Energies are from PBE.

## Properties
DFT formation energy (eV/atom): 0.717
Spin magnetization (μB/f.u.): 2.336

Unit cell a=5.8784 b=5.8784 c=4.6791 alpha=90.00 beta=90.00 gamma=90.00
With the nearest neighbours (Å) after each atom.
Space group P4/mmm (No. 123)
Unique sites:
Sr 0.0000 0.5000 0.0000  2 Mg 2.94
Mg 0.0000 0.0000 0.0000  2 Fe 2.34
Fe 0.0000 0.0000 0.5000  2 Mg 2.34
Ge 0.5000 0.5000 0.5000  8 Sr 3.76, 4 Fe 4.16